Sc2BiO5 | the Alexandria database | PBE | relaxed; E = -7.655 eV/atom; space-group type = P2_1/c; ΔE_f (raw) = -2.488 eV per atom
1.0
5.4486 0.0000 0.0000
0.0000 7.2494 -2.3586
0.0000 0.6005 10.6184
O Sc Bi
20 8 4
direct
0.7279 0.4914 0.6635 O
0.8026 0.2989 0.8619 O
0.7721 0.4914 0.1635 O
0.2721 0.5086 0.3365 O
0.2284 0.0887 0.2146 O
0.1390 0.8904 0.4228 O
0.7504 0.7154 0.9816 O
0.7716 0.9113 0.7854 O
0.6974 0.2989 0.3619 O
0.7496 0.7154 0.4816 O
0.2496 0.2846 0.0184 O
0.2279 0.5086 0.8365 O
0.1974 0.7011 0.1381 O
0.8610 0.1096 0.5772 O
0.7284 0.9113 0.2854 O
0.3610 0.8904 0.9228 O
0.2504 0.2846 0.5184 O
0.3026 0.7011 0.6381 O
0.6390 0.1096 0.0772 O
0.2716 0.0887 0.7146 O
0.5284 0.6760 0.8088 Sc
0.0284 0.3240 0.6912 Sc
0.0100 0.8805 0.6317 Sc
0.9900 0.1195 0.3683 Sc
0.9716 0.6760 0.3088 Sc
0.4900 0.8805 0.1317 Sc
0.5100 0.1195 0.8683 Sc
0.4716 0.3240 0.1912 Sc
0.5000 0.5000 0.5000 Bi
0.0000 0.0000 0.0000 Bi
0.5000 0.0000 0.5000 Bi
0.0000 0.5000 0.0000 Bi